i) K2AlCuF6 after structural relaxation. Source: the Alexandria database, functional GGA-PBE.

Lattice parameters (Å, degrees): 6.146 6.147 7.611 90.00 90.00 90.00
Each line ends with the local moment (μB).
Positions (direct):
K 0.500 0.750 0.250  0.00
K 0.000 0.250 0.750  0.00
K 0.500 0.750 0.750  0.00
K 0.000 0.250 0.250  0.00
Al 0.500 0.250 0.500  0.00
Al 0.000 0.750 0.000  0.00
Cu 0.000 0.750 0.500  0.06
Cu 0.500 0.250 0.000  0.06
F 0.500 0.250 0.254  0.00
F 0.500 0.250 0.746  0.00
F 0.000 0.750 0.246  0.00
F 0.000 0.750 0.754  0.00
F 0.291 0.041 0.500  0.00
F 0.709 0.041 0.500  0.00
F 0.291 0.459 0.500  0.00
F 0.709 0.459 0.500  0.00
F 0.791 0.541 0.000  0.00
F 0.209 0.541 0.000  0.00
F 0.209 0.959 0.000  0.00
F 0.791 0.959 0.000  0.00

Symmetry: I4/mmm (139)

***

ii) K2AlCuF6 after structural relaxation. Source: the Alexandria database, functional GGA-PBE.

Lattice parameters (Å, degrees): 5.803 5.803 5.803 60.00 60.00 60.00
Each line ends with the local moment (μB).
Positions (direct):
K 0.750 0.750 0.750  0.00
K 0.250 0.250 0.250  0.00
Al 0.000 0.000 0.000  0.00
Cu 0.500 0.500 0.500  0.10
F 0.776 0.224 0.224  0.00
F 0.224 0.224 0.776  0.00
F 0.224 0.776 0.776  0.00
F 0.224 0.776 0.224  0.00
F 0.776 0.224 0.776  0.00
F 0.776 0.776 0.224  0.00

Symmetry: Fm-3m (225)

***

Energies relative to the most stable structure, in meV/atom: i) 0; ii) 12.